# SmY5HoSc2 PBE relaxed
data_SmY5HoSc2
_space_group_name_H-M_alt 'C m c 21'
_space_group_IT_number 36
_cell_length_a 5.622
_cell_length_b 21.426
_cell_length_c 9.384
_cell_angle_alpha 90.00
_cell_angle_beta 90.00
_cell_angle_gamma 90.00
loop_
_space_group_symop_operation_xyz
'x,y,z'
'-x,-y,z+1/2'
'-x,y,z'
'x,-y,z+1/2'
'x+1/2,y+1/2,z'
'-x+1/2,-y+1/2,z+1/2'
'-x+1/2,y+1/2,z'
'x+1/2,-y+1/2,z+1/2'
loop_
_atom_site_label
_atom_site_fract_x
_atom_site_fract_y
_atom_site_fract_z
Sm1 0.000 0.184 0.000
Y1 0.000 0.010 0.005
Y2 0.000 0.264 0.682
Y3 0.000 0.307 0.303
Y4 0.000 0.389 0.973
Y5 0.000 0.469 0.271
Ho1 0.000 0.402 0.600
Sc1 0.000 0.113 0.695
Sc2 0.000 0.135 0.316
# ΔE_f, eV per atom: 0.17
# Total energy, eV/f.u.: -52.780

***

# SmY6Ho2Sc PBE relaxed
data_SmY6Ho2Sc
_space_group_name_H-M_alt 'C 1 2/c 1'
_space_group_IT_number 15
_cell_length_a 9.247
_cell_length_b 15.753
_cell_length_c 8.740
_cell_angle_alpha 90.00
_cell_angle_beta 92.25
_cell_angle_gamma 90.00
loop_
_space_group_symop_operation_xyz
'x,y,z'
'-x,-y,-z'
'-x,y,-z+1/2'
'x,-y,z+1/2'
'x+1/2,y+1/2,z'
'-x+1/2,-y+1/2,-z'
'-x+1/2,y+1/2,-z+1/2'
'x+1/2,-y+1/2,z+1/2'
loop_
_atom_site_label
_atom_site_fract_x
_atom_site_fract_y
_atom_site_fract_z
Sm1 0.000 0.033 0.250
Y1 0.038 0.170 0.948
Y2 0.104 0.370 0.091
Y3 0.247 0.294 0.707
Ho1 0.234 0.446 0.444
Sc1 0.000 0.444 0.750
# ΔE_f, eV per atom: 0.12
# Total energy, eV/f.u.: -57.784

***

# Sm2Y5HoSc PBE relaxed
data_Sm2Y5HoSc
_space_group_name_H-M_alt 'C m c 21'
_space_group_IT_number 36
_cell_length_a 5.545
_cell_length_b 20.294
_cell_length_c 10.311
_cell_angle_alpha 90.00
_cell_angle_beta 90.00
_cell_angle_gamma 90.00
loop_
_space_group_symop_operation_xyz
'x,y,z'
'-x,-y,z+1/2'
'-x,y,z'
'x,-y,z+1/2'
'x+1/2,y+1/2,z'
'-x+1/2,-y+1/2,z+1/2'
'-x+1/2,y+1/2,z'
'x+1/2,-y+1/2,z+1/2'
loop_
_atom_site_label
_atom_site_fract_x
_atom_site_fract_y
_atom_site_fract_z
Sm1 0.000 0.111 0.000
Sm2 0.000 0.117 0.579
Y1 0.000 0.016 0.300
Y2 0.000 0.269 0.980
Y3 0.000 0.300 0.614
Y4 0.000 0.367 0.292
Y5 0.000 0.482 0.575
Ho1 0.000 0.406 0.863
Sc1 0.000 0.190 0.296
# ΔE_f, eV per atom: 0.15
# Total energy, eV/f.u.: -51.290

***

# Sm2YHo6Sc PBE relaxed
data_Sm2YHo6Sc
_space_group_name_H-M_alt 'C 1 2/c 1'
_space_group_IT_number 15
_cell_length_a 9.181
_cell_length_b 15.784
_cell_length_c 8.684
_cell_angle_alpha 90.00
_cell_angle_beta 92.46
_cell_angle_gamma 90.00
loop_
_space_group_symop_operation_xyz
'x,y,z'
'-x,-y,-z'
'-x,y,-z+1/2'
'x,-y,z+1/2'
'x+1/2,y+1/2,z'
'-x+1/2,-y+1/2,-z'
'-x+1/2,y+1/2,-z+1/2'
'x+1/2,-y+1/2,z+1/2'
loop_
_atom_site_label
_atom_site_fract_x
_atom_site_fract_y
_atom_site_fract_z
Sm1 0.235 0.057 0.448
Y1 0.000 0.469 0.250
Ho1 0.035 0.327 0.948
Ho2 0.108 0.129 0.093
Ho3 0.248 0.207 0.709
Sc1 0.000 0.056 0.750
# ΔE_f, eV per atom: 0.12
# Total energy, eV/f.u.: -48.470